No. 1
## KNa2In (PBE-GGA)

Data for a relaxed structure of KNa2In.

E, eV/atom: -1.62
Energy of formation from the pure elements, meV per atom: -4

```
data_KNa2In
_cell_length_a 4.1967
_cell_length_b 4.1967
_cell_length_c 8.6246
_cell_angle_alpha 90.00
_cell_angle_beta 90.00
_cell_angle_gamma 90.00
_symmetry_space_group_name_H-M 'P 1'
_symmetry_Int_Tables_number 1
loop_
_symmetry_equiv_pos_as_xyz
'x,y,z'
loop_
_atom_site_label
_atom_site_type_symbol
_atom_site_fract_x
_atom_site_fract_y
_atom_site_fract_z
Na1 Na 0.0000 0.0000 0.1864
Na2 Na 0.0000 0.0000 0.8136
In1 In 0.5000 0.5000 0.0000
K1 K 0.5000 0.5000 0.5000
```

---

No. 2
## K2NaIn (PBE-GGA)

Data for a relaxed structure of K2NaIn.

E, eV/atom: -1.45
Energy of formation from the pure elements, meV per atom: 118

```
data_K2NaIn
_cell_length_a 10.0103
_cell_length_b 10.0103
_cell_length_c 7.9323
_cell_angle_alpha 50.88
_cell_angle_beta 50.88
_cell_angle_gamma 90.00
_symmetry_space_group_name_H-M 'P 1'
_symmetry_Int_Tables_number 1
loop_
_symmetry_equiv_pos_as_xyz
'x,y,z'
loop_
_atom_site_label
_atom_site_type_symbol
_atom_site_fract_x
_atom_site_fract_y
_atom_site_fract_z
In1 In 0.7500 0.2500 0.5000
In2 In 0.0000 0.0000 0.0000
K1 K 0.1140 0.6250 0.2500
K2 K 0.6360 0.1250 0.2500
K3 K 0.8750 0.8860 0.7500
K4 K 0.3750 0.3640 0.7500
Na1 Na 0.5000 0.5000 0.0000
Na2 Na 0.2500 0.7500 0.5000
```

---

No. 3
## K2NaIn9 (PBE-GGA)

Data for a relaxed structure of K2NaIn9.

E, eV/atom: -2.41
Energy of formation from the pure elements, meV per atom: -66

```
data_K2NaIn9
_cell_length_a 6.3890
_cell_length_b 6.3890
_cell_length_c 11.0705
_cell_angle_alpha 73.23
_cell_angle_beta 73.23
_cell_angle_gamma 60.00
_symmetry_space_group_name_H-M 'P 1'
_symmetry_Int_Tables_number 1
loop_
_symmetry_equiv_pos_as_xyz
'x,y,z'
loop_
_atom_site_label
_atom_site_type_symbol
_atom_site_fract_x
_atom_site_fract_y
_atom_site_fract_z
In1 In 0.4141 0.9226 0.2493
In2 In 0.3351 0.3351 0.9947
In3 In 0.9226 0.4141 0.2493
In4 In 0.0774 0.5859 0.7507
In5 In 0.5000 0.5000 0.5000
In6 In 0.4141 0.4141 0.2493
In7 In 0.6649 0.6649 0.0053
In8 In 0.5859 0.0774 0.7507
In9 In 0.5859 0.5859 0.7507
K1 K 0.8575 0.8575 0.4274
K2 K 0.1425 0.1425 0.5726
Na1 Na 0.0000 0.0000 0.0000
```

---

No. 4
## KNa3In8 (PBE-GGA)

Data for a relaxed structure of KNa3In8.

E, eV/atom: -2.37
Energy of formation from the pure elements, meV per atom: -127

```
data_KNa3In8
_cell_length_a 6.3387
_cell_length_b 6.3387
_cell_length_c 10.0416
_cell_angle_alpha 90.00
_cell_angle_beta 90.00
_cell_angle_gamma 120.00
_symmetry_space_group_name_H-M 'P 1'
_symmetry_Int_Tables_number 1
loop_
_symmetry_equiv_pos_as_xyz
'x,y,z'
loop_
_atom_site_label
_atom_site_type_symbol
_atom_site_fract_x
_atom_site_fract_y
_atom_site_fract_z
In1 In 0.5051 0.4949 0.7555
In2 In 0.6742 0.8371 0.2457
In3 In 0.3333 0.6667 0.5007
In4 In 0.5051 0.0103 0.7555
In5 In 0.1629 0.8371 0.2457
In6 In 0.1629 0.3258 0.2457
In7 In 0.3333 0.6667 0.0007
In8 In 0.9897 0.4949 0.7555
K1 K 0.0000 0.0000 0.5647
Na1 Na 0.6667 0.3333 0.0657
Na2 Na 0.6667 0.3333 0.4275
Na3 Na 0.0000 0.0000 0.9374
```

---

No. 5
## K16Na12In (PBE-GGA)

Data for a relaxed structure of K16Na12In.

E, eV/atom: -1.23
Energy of formation from the pure elements, meV per atom: 16

```
data_K16Na12In
_cell_length_a 12.4660
_cell_length_b 12.4660
_cell_length_c 12.7119
_cell_angle_alpha 109.29
_cell_angle_beta 109.29
_cell_angle_gamma 107.78
_symmetry_space_group_name_H-M 'P 1'
_symmetry_Int_Tables_number 1
loop_
_symmetry_equiv_pos_as_xyz
'x,y,z'
loop_
_atom_site_label
_atom_site_type_symbol
_atom_site_fract_x
_atom_site_fract_y
_atom_site_fract_z
K1 K 0.7103 0.3290 0.3093
K2 K 0.9906 0.6347 0.0035
K3 K 0.6347 0.9906 0.0035
K4 K 0.5872 0.2959 0.5992
K5 K 0.0007 0.6818 0.4095
K6 K 0.4054 0.9935 0.6791
K7 K 0.6512 0.4346 0.0314
K8 K 0.9935 0.4054 0.6791
K9 K 0.3945 0.3945 0.3179
K10 K 0.3290 0.7103 0.3093
K11 K 0.2959 0.5872 0.5992
K12 K 0.9985 0.9985 0.0037
K13 K 0.4346 0.6512 0.0314
K14 K 0.9844 0.9844 0.6406
K15 K 0.2903 0.2903 0.6934
K16 K 0.6818 0.0007 0.4095
Na1 Na 0.8125 0.6409 0.6201
Na2 Na 0.6409 0.8125 0.6201
Na3 Na 0.1509 0.3354 0.9706
Na4 Na 0.6545 0.6545 0.8350
Na5 Na 0.3354 0.1509 0.9706
Na6 Na 0.3620 0.9951 0.1718
Na7 Na 0.8262 0.8262 0.2184
Na8 Na 0.1816 0.8015 0.8251
Na9 Na 0.1855 0.9983 0.3486
Na10 Na 0.8015 0.1816 0.8251
Na11 Na 0.9951 0.3620 0.1718
Na12 Na 0.9983 0.1855 0.3486
In1 In 0.6730 0.6730 0.3547
```

---

No. 6
## KNaIn11 (PBE-GGA)

Data for a relaxed structure of KNaIn11.

E, eV/atom: -2.54
Energy of formation from the pure elements, meV per atom: -33

```
data_KNaIn11
_cell_length_a 6.4032
_cell_length_b 8.2043
_cell_length_c 8.3194
_cell_angle_alpha 81.79
_cell_angle_beta 67.37
_cell_angle_gamma 68.23
_symmetry_space_group_name_H-M 'P 1'
_symmetry_Int_Tables_number 1
loop_
_symmetry_equiv_pos_as_xyz
'x,y,z'
loop_
_atom_site_label
_atom_site_type_symbol
_atom_site_fract_x
_atom_site_fract_y
_atom_site_fract_z
Na1 Na 0.5000 0.5000 0.0000
K1 K 0.0000 0.0000 0.0000
In1 In 0.2842 0.2146 0.2170
In2 In 0.5000 0.0000 0.5000
In3 In 0.0000 0.0000 0.5000
In4 In 0.0129 0.6411 0.3550
In5 In 0.4988 0.7854 0.2170
In6 In 0.6321 0.3589 0.3550
In7 In 0.9871 0.3589 0.6450
In8 In 0.5012 0.2146 0.7830
In9 In 0.3679 0.6411 0.6450
In10 In 0.0000 0.5000 0.0000
In11 In 0.7158 0.7854 0.7830
```

---

No. 7
## KNa2In (PBE-GGA)

Data for a relaxed structure of KNa2In.

E, eV/atom: -1.52
Energy of formation from the pure elements, meV per atom: 96

```
data_KNa2In
_cell_length_a 5.1127
_cell_length_b 5.1127
_cell_length_c 12.5855
_cell_angle_alpha 78.28
_cell_angle_beta 78.28
_cell_angle_gamma 90.00
_symmetry_space_group_name_H-M 'P 1'
_symmetry_Int_Tables_number 1
loop_
_symmetry_equiv_pos_as_xyz
'x,y,z'
loop_
_atom_site_label
_atom_site_type_symbol
_atom_site_fract_x
_atom_site_fract_y
_atom_site_fract_z
Na1 Na 0.8750 0.9219 0.7500
Na2 Na 0.6719 0.1250 0.2500
Na3 Na 0.0781 0.6250 0.2500
Na4 Na 0.3750 0.3281 0.7500
In1 In 0.7500 0.2500 0.5000
In2 In 0.0000 0.0000 0.0000
K1 K 0.5000 0.5000 0.0000
K2 K 0.2500 0.7500 0.5000
```

---

No. 8
## K8Na2In (PBE-GGA)

Data for a relaxed structure of K8Na2In.

E, eV/atom: -1.24
Energy of formation from the pure elements, meV per atom: 43

```
data_K8Na2In
_cell_length_a 7.4938
_cell_length_b 9.6327
_cell_length_c 9.6327
_cell_angle_alpha 106.41
_cell_angle_beta 100.33
_cell_angle_gamma 100.33
_symmetry_space_group_name_H-M 'P 1'
_symmetry_Int_Tables_number 1
loop_
_symmetry_equiv_pos_as_xyz
'x,y,z'
loop_
_atom_site_label
_atom_site_type_symbol
_atom_site_fract_x
_atom_site_fract_y
_atom_site_fract_z
K1 K 0.3656 0.7887 0.7887
K2 K 0.8631 0.6701 0.9445
K3 K 0.8631 0.9445 0.6701
K4 K 0.5000 0.2606 0.7394
K5 K 0.1369 0.0555 0.3299
K6 K 0.6344 0.2113 0.2113
K7 K 0.1369 0.3299 0.0555
K8 K 0.5000 0.7394 0.2606
Na1 Na 0.0000 0.6119 0.3881
Na2 Na 0.0000 0.3881 0.6119
In1 In 0.5000 0.5000 0.5000
```